{"formula": "TiMn3Te2P6O24", "functional": "PBE+U", "state": "optimized geometry", "lattice_angstrom": [[8.9297, 0.0189, 0.0134], [4.5036, 7.7109, 0.0134], [4.5036, 2.5915, 7.2624]], "species": ["O", "O", "O", "O", "O", "O", "O", "O", "O", "O", "O", "O", "O", "O", "O", "O", "O", "O", "O", "O", "O", "O", "O", "O", "Te", "Te", "P", "P", "P", "P", "P", "P", "Mn", "Mn", "Mn", "Ti"], "fractional_positions": [[0.1747, 0.3919, 0.0217], [0.0774, 0.7420, 0.9361], [0.0412, 0.7949, 0.6026], [0.2581, 0.5910, 0.4158], [0.6026, 0.0412, 0.7949], [0.5295, 0.0932, 0.3116], [0.9168, 0.2581, 0.0931], [0.0217, 0.1747, 0.3919], [0.0931, 0.9168, 0.2581], [0.9361, 0.0774, 0.7420], [0.9089, 0.7044, 0.4734], [0.7949, 0.6026, 0.0412], [0.7601, 0.3946, 0.5622], [0.4158, 0.2581, 0.5910], [0.3116, 0.5295, 0.0932], [0.5622, 0.7601, 0.3946], [0.4734, 0.9089, 0.7044], [0.7420, 0.9361, 0.0774], [0.2581, 0.0931, 0.9168], [0.5910, 0.4158, 0.2581], [0.3946, 0.5622, 0.7601], [0.0932, 0.3116, 0.5295], [0.7044, 0.4734, 0.9089], [0.3919, 0.0217, 0.1747], [0.9764, 0.9764, 0.9764], [0.4861, 0.4861, 0.4861], [0.9556, 0.2525, 0.5427], [0.4466, 0.0600, 0.7563], [0.7563, 0.4466, 0.0600], [0.5427, 0.9556, 0.2525], [0.0600, 0.7563, 0.4466], [0.2525, 0.5427, 0.9556], [0.8330, 0.8330, 0.8330], [0.6499, 0.6499, 0.6499], [0.3413, 0.3413, 0.3413], [0.1463, 0.1463, 0.1463]], "total_magnetization_mub_per_fu": 15.00, "e_tot_ev_per_atom": -7.190}